# CsCeUO6 (PBE-GGA, relaxed)
data_CsCeUO6
_chemical_formula_sum 'Cs2 Ce2 U2 O12'
_space_group_name_H-M_alt 'P 1'
_space_group_IT_number 1
_cell_length_a 8.078
_cell_length_b 8.078
_cell_length_c 8.078
_cell_angle_alpha 120.75
_cell_angle_beta 119.22
_cell_angle_gamma 90.03
loop_
_space_group_symop_operation_xyz
'x,y,z'
loop_
_atom_site_label
_atom_site_type_symbol
_atom_site_fract_x
_atom_site_fract_y
_atom_site_fract_z
_atom_site_occupancy
Cs1 Cs 0.371 0.121 0.250 1
Cs2 Cs 0.629 0.879 0.750 1
Ce1 Ce 0.000 0.000 0.500 1
Ce2 Ce 0.000 0.500 0.000 1
U1 U 0.000 0.500 0.500 1
U2 U 0.500 0.500 0.000 1
O1 O 0.071 0.821 0.250 1
O2 O 0.072 0.438 0.271 1
O3 O 0.072 0.801 0.634 1
O4 O 0.306 0.556 0.750 1
O5 O 0.332 0.199 0.771 1
O6 O 0.332 0.562 0.134 1
O7 O 0.668 0.438 0.866 1
O8 O 0.668 0.801 0.229 1
O9 O 0.694 0.444 0.250 1
O10 O 0.928 0.199 0.366 1
O11 O 0.928 0.562 0.729 1
O12 O 0.929 0.179 0.750 1
# electronic total energy	-72.5	eV per formula unit